A relaxed structure of LiVF4. Source: Alexandria via LeMat-Bulk, functional GGA+U.

a b c (Å): 6.0854 6.0854 6.0854
angles (deg): 131.90 131.90 70.39
With the nearest neighbours (Å) after each atom.
Fractional coordinates of all 12 atoms:
Li 0.0000 0.0000 0.0000  4 F 1.96
Li 0.7500 0.2500 0.5000  4 F 1.96
V 0.2500 0.7500 0.5000  8 F 2.07-2.15
V 0.5000 0.5000 0.0000  8 F 2.07-2.15
F 0.8895 0.8235 0.5190  1 Li 1.96, 2 V 2.07-2.15
F 0.3045 0.3705 0.4810  1 Li 1.96, 2 V 2.07-2.15
F 0.1765 0.6955 0.0660  1 Li 1.96, 2 V 2.07-2.15
F 0.1205 0.1395 0.5660  1 Li 1.96, 2 V 2.07-2.15
F 0.5735 0.5545 0.4340  1 Li 1.96, 2 V 2.07-2.15
F 0.6295 0.1105 0.9340  1 Li 1.96, 2 V 2.07-2.15
F 0.4455 0.8795 0.0190  1 Li 1.96, 2 V 2.07-2.15
F 0.8605 0.4265 0.9810  1 Li 1.96, 2 V 2.07-2.15

Properties
M_tot: 2.000 μB/f.u.
E above lowest polymorph: 82 meV/atom